[1]
# GeIr, relaxed, DFT GGA-PBE
data_GeIr
_symmetry_space_group_name_H-M 'P 1'
_symmetry_Int_Tables_number 1
_symmetry_space_group_name_Hall 'P 1'
_cell_length_a 3.091
_cell_length_b 7.333
_cell_length_c 5.610
_cell_angle_alpha 90.00
_cell_angle_beta 90.00
_cell_angle_gamma 90.00
loop_
_atom_site_label
_atom_site_type_symbol
_atom_site_fract_x
_atom_site_fract_y
_atom_site_fract_z
Ge1 Ge 0.000 0.707 0.250
Ge2 Ge 0.000 0.293 0.750
Ge3 Ge 0.500 0.207 0.250
Ge4 Ge 0.500 0.793 0.750
Ir1 Ir 0.000 0.000 0.000
Ir2 Ir 0.000 0.000 0.500
Ir3 Ir 0.500 0.500 0.000
Ir4 Ir 0.500 0.500 0.500
# **Magnetization**: 0.000 μB per atom
# **Total energy**: -6.94 eV/atom
# **Space group**: Cmcm, No. 63
# **ρ**: 13.833 g/cm³

---

[2]
# K4RuCl, relaxed, DFT GGA-PBE
data_K4RuCl
_symmetry_space_group_name_H-M 'P 1'
_symmetry_Int_Tables_number 1
_symmetry_space_group_name_Hall 'P 1'
_cell_length_a 7.254
_cell_length_b 7.254
_cell_length_c 7.254
_cell_angle_alpha 60.00
_cell_angle_beta 60.00
_cell_angle_gamma 60.00
loop_
_atom_site_label
_atom_site_type_symbol
_atom_site_fract_x
_atom_site_fract_y
_atom_site_fract_z
K1 K 0.876 0.375 0.375
K2 K 0.375 0.375 0.876
K3 K 0.375 0.876 0.375
K4 K 0.375 0.375 0.375
Ru1 Ru 0.750 0.750 0.750
Cl1 Cl 0.000 0.000 0.000
# **Magnetization**: 0.503 μB per atom
# **Space group**: F-43m, No. 216
# **ρ**: 1.802 g/cm³
# **Uncorrected formation energy**: 0.6087 eV/atom

---

[3]
# HfNp3Pa2P6, relaxed, DFT GGA-PBE
data_HfNp3Pa2P6
_symmetry_space_group_name_H-M 'P 1'
_symmetry_Int_Tables_number 1
_symmetry_space_group_name_Hall 'P 1'
_cell_length_a 6.793
_cell_length_b 6.793
_cell_length_c 6.779
_cell_angle_alpha 99.63
_cell_angle_beta 99.63
_cell_angle_gamma 120.00
loop_
_atom_site_label
_atom_site_type_symbol
_atom_site_fract_x
_atom_site_fract_y
_atom_site_fract_z
Hf1 Hf 0.000 0.000 0.000
Np1 Np 0.170 0.830 0.500
Np2 Np 0.830 0.170 0.500
Np3 Np 0.500 0.500 0.500
Pa1 Pa 0.335 0.665 0.000
Pa2 Pa 0.665 0.335 0.000
P1 P 0.920 0.596 0.757
P2 P 0.761 0.761 0.249
P3 P 0.080 0.404 0.243
P4 P 0.596 0.920 0.757
P5 P 0.239 0.239 0.751
P6 P 0.404 0.080 0.243
# **Magnetization**: 1.001 μB per atom
# **Total energy**: -9.45 eV/atom
# **Space group**: C2/m, No. 12
# **ρ**: 10.000 g/cm³

---

[4]
# B13H19, relaxed, DFT GGA-PBE
data_B13H19
_symmetry_space_group_name_H-M 'P 1'
_symmetry_Int_Tables_number 1
_symmetry_space_group_name_Hall 'P 1'
_cell_length_a 6.621
_cell_length_b 9.208
_cell_length_c 19.925
_cell_angle_alpha 97.61
_cell_angle_beta 90.00
_cell_angle_gamma 90.00
loop_
_atom_site_label
_atom_site_type_symbol
_atom_site_fract_x
_atom_site_fract_y
_atom_site_fract_z
B1 B 0.938 0.706 0.387
B2 B 0.438 0.294 0.113
B3 B 0.062 0.294 0.613
B4 B 0.562 0.706 0.887
B5 B 0.692 0.754 0.412
B6 B 0.192 0.246 0.088
B7 B 0.308 0.246 0.588
B8 B 0.808 0.754 0.912
B9 B 0.541 0.596 0.406
B10 B 0.041 0.404 0.094
B11 B 0.459 0.404 0.594
B12 B 0.959 0.596 0.906
B13 B 0.795 0.590 0.430
B14 B 0.295 0.410 0.070
B15 B 0.205 0.410 0.570
B16 B 0.705 0.590 0.930
B17 B 0.692 0.447 0.365
B18 B 0.192 0.553 0.135
B19 B 0.308 0.553 0.635
B20 B 0.808 0.447 0.865
B21 B 0.663 0.267 0.398
B22 B 0.163 0.733 0.102
B23 B 0.337 0.733 0.602
B24 B 0.837 0.267 0.898
B25 B 0.885 0.166 0.412
B26 B 0.385 0.834 0.088
B27 B 0.115 0.834 0.588
B28 B 0.615 0.166 0.912
B29 B 0.023 0.137 0.337
B30 B 0.523 0.863 0.163
B31 B 0.977 0.863 0.663
B32 B 0.477 0.137 0.837
B33 B 0.891 0.226 0.275
B34 B 0.391 0.774 0.225
B35 B 0.109 0.774 0.725
B36 B 0.609 0.226 0.775
B37 B 0.822 0.417 0.289
B38 B 0.322 0.583 0.211
B39 B 0.178 0.583 0.711
B40 B 0.678 0.417 0.789
B41 B 0.952 0.515 0.357
B42 B 0.452 0.485 0.143
B43 B 0.048 0.485 0.643
B44 B 0.548 0.515 0.857
B45 B 0.762 0.125 0.336
B46 B 0.262 0.875 0.164
B47 B 0.238 0.875 0.664
B48 B 0.738 0.125 0.836
B49 B 0.653 0.288 0.310
B50 B 0.153 0.712 0.190
B51 B 0.347 0.712 0.690
B52 B 0.847 0.288 0.810
H1 H 0.524 0.715 0.375
H2 H 0.024 0.285 0.125
H3 H 0.476 0.285 0.625
H4 H 0.976 0.715 0.875
H5 H 0.069 0.216 0.397
H6 H 0.569 0.784 0.103
H7 H 0.931 0.784 0.603
H8 H 0.431 0.216 0.897
H9 H 0.068 0.252 0.304
H10 H 0.568 0.748 0.196
H11 H 0.932 0.748 0.696
H12 H 0.432 0.252 0.804
H13 H 0.800 0.789 0.359
H14 H 0.300 0.211 0.141
H15 H 0.200 0.211 0.641
H16 H 0.700 0.789 0.859
H17 H 0.984 0.631 0.326
H18 H 0.484 0.369 0.174
H19 H 0.016 0.369 0.674
H20 H 0.516 0.631 0.826
H21 H 0.822 0.304 0.437
H22 H 0.322 0.696 0.063
H23 H 0.178 0.696 0.563
H24 H 0.678 0.304 0.937
H25 H 0.513 0.514 0.349
H26 H 0.013 0.486 0.151
H27 H 0.487 0.486 0.651
H28 H 0.987 0.514 0.849
H29 H 0.075 0.782 0.407
H30 H 0.575 0.218 0.093
H31 H 0.925 0.218 0.593
H32 H 0.145 0.043 0.326
H33 H 0.425 0.782 0.907
H34 H 0.155 0.138 0.051
H35 H 0.345 0.138 0.551
H36 H 0.845 0.862 0.949
H37 H 0.403 0.589 0.444
H38 H 0.903 0.411 0.056
H39 H 0.597 0.411 0.556
H40 H 0.097 0.589 0.944
H41 H 0.836 0.569 0.486
H42 H 0.336 0.431 0.014
H43 H 0.164 0.431 0.514
H44 H 0.664 0.569 0.986
H45 H 0.522 0.249 0.433
H46 H 0.022 0.751 0.067
H47 H 0.478 0.751 0.567
H48 H 0.978 0.249 0.933
H49 H 0.907 0.097 0.458
H50 H 0.407 0.903 0.042
H51 H 0.093 0.903 0.542
H52 H 0.593 0.097 0.958
H53 H 0.006 0.267 0.782
H54 H 0.506 0.733 0.718
H55 H 0.994 0.733 0.218
H56 H 0.494 0.267 0.282
H57 H 0.823 0.011 0.821
H58 H 0.323 0.989 0.679
H59 H 0.177 0.989 0.179
H60 H 0.677 0.011 0.321
H61 H 0.394 0.467 0.877
H62 H 0.894 0.533 0.623
H63 H 0.606 0.533 0.123
H64 H 0.106 0.467 0.377
H65 H 0.718 0.481 0.742
H66 H 0.218 0.519 0.758
H67 H 0.282 0.519 0.258
H68 H 0.782 0.481 0.242
H69 H 0.584 0.168 0.719
H70 H 0.084 0.832 0.781
H71 H 0.416 0.832 0.281
H72 H 0.916 0.168 0.219
H73 H 0.355 0.043 0.826
H74 H 0.855 0.957 0.674
H75 H 0.645 0.957 0.174
H76 H 0.655 0.862 0.449
# **Magnetization**: 0.000 μB per atom
# **Total energy**: -4.78 eV/atom
# **Space group**: P2_1/c, No. 14
# **ρ**: 0.881 g/cm³

---

[5]
# Ca4GeBi, relaxed, DFT GGA-PBE
data_Ca4GeBi
_symmetry_space_group_name_H-M 'P 1'
_symmetry_Int_Tables_number 1
_symmetry_space_group_name_Hall 'P 1'
_cell_length_a 6.846
_cell_length_b 8.468
_cell_length_c 8.460
_cell_angle_alpha 114.31
_cell_angle_beta 107.15
_cell_angle_gamma 102.67
loop_
_atom_site_label
_atom_site_type_symbol
_atom_site_fract_x
_atom_site_fract_y
_atom_site_fract_z
Ca1 Ca 0.018 0.223 0.869
Ca2 Ca 0.805 0.713 0.655
Ca3 Ca 0.352 0.646 0.869
Ca4 Ca 0.350 0.941 0.655
Ca5 Ca 0.650 0.059 0.345
Ca6 Ca 0.648 0.354 0.131
Ca7 Ca 0.195 0.287 0.345
Ca8 Ca 0.982 0.777 0.131
Ge1 Ge 0.251 0.001 0.003
Ge2 Ge 0.749 0.999 0.997
Bi1 Bi 0.385 0.635 0.271
Bi2 Bi 0.615 0.365 0.729
# **Magnetization**: 0.030 μB per atom
# **Total energy**: -3.36 eV/atom
# **Space group**: C2/c, No. 15
# **ρ**: 3.734 g/cm³

---

[6]
# KAl6Ag3, relaxed, DFT GGA-PBE
data_KAl6Ag3
_symmetry_space_group_name_H-M 'P 1'
_symmetry_Int_Tables_number 1
_symmetry_space_group_name_Hall 'P 1'
_cell_length_a 6.926
_cell_length_b 7.173
_cell_length_c 8.416
_cell_angle_alpha 109.66
_cell_angle_beta 90.00
_cell_angle_gamma 90.00
loop_
_atom_site_label
_atom_site_type_symbol
_atom_site_fract_x
_atom_site_fract_y
_atom_site_fract_z
K1 K 0.500 0.500 0.500
K2 K 0.000 0.000 0.000
Al1 Al 0.181 0.923 0.637
Al2 Al 0.023 0.519 0.671
Al3 Al 0.317 0.305 0.784
Al4 Al 0.683 0.695 0.216
Al5 Al 0.977 0.481 0.329
Al6 Al 0.819 0.077 0.363
Al7 Al 0.319 0.423 0.137
Al8 Al 0.477 0.019 0.171
Al9 Al 0.183 0.805 0.284
Al10 Al 0.817 0.195 0.716
Al11 Al 0.523 0.981 0.829
Al12 Al 0.681 0.577 0.863
Ag1 Ag 0.828 0.799 0.592
Ag2 Ag 0.500 0.000 0.500
Ag3 Ag 0.172 0.201 0.408
Ag4 Ag 0.672 0.299 0.092
Ag5 Ag 0.000 0.500 0.000
Ag6 Ag 0.328 0.701 0.908
# **Magnetization**: 0.000 μB per atom
# **Total energy**: -3.14 eV/atom
# **Space group**: P2_1/c, No. 14
# **ρ**: 4.424 g/cm³

---

[7]
# HfInRh3, relaxed, DFT GGA-PBE
data_HfInRh3
_symmetry_space_group_name_H-M 'P 1'
_symmetry_Int_Tables_number 1
_symmetry_space_group_name_Hall 'P 1'
_cell_length_a 4.737
_cell_length_b 4.737
_cell_length_c 4.737
_cell_angle_alpha 90.00
_cell_angle_beta 90.00
_cell_angle_gamma 90.00
loop_
_atom_site_label
_atom_site_type_symbol
_atom_site_fract_x
_atom_site_fract_y
_atom_site_fract_z
Rh1 Rh 0.000 0.500 0.000
Rh2 Rh 0.000 0.000 0.500
Rh3 Rh 0.500 0.000 0.000
Hf1 Hf 0.500 0.500 0.500
In1 In 0.000 0.000 0.000
# **Magnetization**: 0.000 μB per atom
# **Relative energy among the computed polymorphs**: 312.5 meV/atom
# **Space group**: Pm-3m, No. 221
# **ρ**: 9.403 g/cm³

---

[8]
# TbCo7C2, relaxed, DFT GGA-PBE
data_TbCo7C2
_symmetry_space_group_name_H-M 'P 1'
_symmetry_Int_Tables_number 1
_symmetry_space_group_name_Hall 'P 1'
_cell_length_a 3.907
_cell_length_b 5.957
_cell_length_c 5.957
_cell_angle_alpha 118.59
_cell_angle_beta 90.00
_cell_angle_gamma 90.00
loop_
_atom_site_label
_atom_site_type_symbol
_atom_site_fract_x
_atom_site_fract_y
_atom_site_fract_z
Tb1 Tb 0.000 0.000 0.000
Co1 Co 0.000 0.705 0.295
Co2 Co 0.000 0.295 0.705
Co3 Co 0.500 0.051 0.340
Co4 Co 0.500 0.949 0.660
Co5 Co 0.500 0.340 0.051
Co6 Co 0.500 0.660 0.949
Co7 Co 0.500 0.500 0.500
C1 C 0.500 0.695 0.305
C2 C 0.500 0.305 0.695
# **Magnetization**: 0.768 μB per atom
# **Total energy**: -7.04 eV/atom
# **Space group**: Cmmm, No. 65
# **ρ**: 8.122 g/cm³

---

Q: Which of these has the highest ρ?
A: GeIr